Entry 1:
Entry from Alexandria: an optimized crystal structure of Si2AgCl (PBE).

```
data_Si2AgCl
_symmetry_space_group_name_H-M 'P 1'
_symmetry_Int_Tables_number 1
_symmetry_space_group_name_Hall 'P 1'
_cell_length_a 8.8155
_cell_length_b 8.8155
_cell_length_c 8.8155
_cell_angle_alpha 20.29
_cell_angle_beta 20.29
_cell_angle_gamma 20.29
loop_
_atom_site_label
_atom_site_fract_x
_atom_site_fract_y
_atom_site_fract_z
Si1 0.2500 0.2500 0.2500
Si2 0.7500 0.7500 0.7500
Ag1 0.0000 0.0000 0.0000
Cl1 0.5000 0.5000 0.5000
```

Computed properties:
Energy above the most stable polymorph in this dataset (meV per atom): 427.5
Formation energy (no corrections) (eV per atom): 0.451
SG: R-3m


Entry 2:
Entry from Alexandria: an optimized crystal structure of NaSe2F (PBE).

```
data_NaSe2F
_symmetry_space_group_name_H-M 'P 1'
_symmetry_Int_Tables_number 1
_symmetry_space_group_name_Hall 'P 1'
_cell_length_a 14.6989
_cell_length_b 14.6989
_cell_length_c 14.6989
_cell_angle_alpha 165.82
_cell_angle_beta 165.82
_cell_angle_gamma 20.10
loop_
_atom_site_label
_atom_site_fract_x
_atom_site_fract_y
_atom_site_fract_z
Na1 0.0000 0.0000 0.0000
Na2 0.7500 0.2500 0.5000
Se1 0.1253 0.6250 0.0003
Se2 0.3750 0.3753 0.5003
Se3 0.6247 0.1250 0.9997
Se4 0.8750 0.8747 0.4997
F1 0.2500 0.7500 0.5000
F2 0.5000 0.5000 0.0000
```

Computed properties:
Energy above the most stable polymorph in this dataset (meV per atom): 0.0
Formation energy (no corrections) (eV per atom): -1.067
SG: I-42d


Entry 3:
Entry from Alexandria: an optimized crystal structure of NaSiB (PBE).

```
data_NaSiB
_symmetry_space_group_name_H-M 'P 1'
_symmetry_Int_Tables_number 1
_symmetry_space_group_name_Hall 'P 1'
_cell_length_a 5.5629
_cell_length_b 5.5629
_cell_length_c 5.5629
_cell_angle_alpha 135.85
_cell_angle_beta 126.53
_cell_angle_gamma 71.77
loop_
_atom_site_label
_atom_site_fract_x
_atom_site_fract_y
_atom_site_fract_z
Na1 0.0000 0.0000 0.0000
Na2 0.7564 0.2564 0.5000
Si1 0.2427 0.7427 0.5000
Si2 0.4128 0.4128 0.0000
B1 0.4590 0.6190 0.8400
B2 0.7791 0.6190 0.1600
```

Computed properties:
Formation energy (no corrections) (eV per atom): 0.173
SG: Imm2


Entry 4:
Entry from Alexandria: an optimized crystal structure of CaAl2Re (PBE).

```
data_CaAl2Re
_symmetry_space_group_name_H-M 'P 1'
_symmetry_Int_Tables_number 1
_symmetry_space_group_name_Hall 'P 1'
_cell_length_a 5.2091
_cell_length_b 5.2091
_cell_length_c 2.7884
_cell_angle_alpha 90.66
_cell_angle_beta 90.66
_cell_angle_gamma 111.96
loop_
_atom_site_label
_atom_site_fract_x
_atom_site_fract_y
_atom_site_fract_z
Ca1 0.0000 0.0000 0.0000
Al1 0.0000 0.5000 0.5000
Al2 0.5000 0.0000 0.5000
Re1 0.5000 0.5000 0.0000
```

Computed properties:
E_form (eV/atom): 0.26
Energy above the most stable polymorph in this dataset (meV per atom): 357.4
SG: C2/m


Entry 5:
Entry from Alexandria: an optimized crystal structure of NaPt3 (PBE).

```
data_NaPt3
_symmetry_space_group_name_H-M 'P 1'
_symmetry_Int_Tables_number 1
_symmetry_space_group_name_Hall 'P 1'
_cell_length_a 3.3950
_cell_length_b 3.3950
_cell_length_c 5.8116
_cell_angle_alpha 90.00
_cell_angle_beta 90.00
_cell_angle_gamma 90.00
loop_
_atom_site_label
_atom_site_fract_x
_atom_site_fract_y
_atom_site_fract_z
Na1 0.0000 0.0000 0.0000
Pt1 0.0000 0.0000 0.5000
Pt2 0.5000 0.5000 0.2674
Pt3 0.5000 0.5000 0.7326
```

Computed properties:
E_form (eV/atom): 0.13
SG: P4/mmm


Entry 6:
Entry from Alexandria: an optimized crystal structure of SrCr2P (PBE).

```
data_SrCr2P
_symmetry_space_group_name_H-M 'P 1'
_symmetry_Int_Tables_number 1
_symmetry_space_group_name_Hall 'P 1'
_cell_length_a 4.0663
_cell_length_b 4.4403
_cell_length_c 4.6074
_cell_angle_alpha 90.00
_cell_angle_beta 96.69
_cell_angle_gamma 90.00
loop_
_atom_site_label
_atom_site_fract_x
_atom_site_fract_y
_atom_site_fract_z
Sr1 0.0000 0.0000 0.0000
Cr1 0.3444 0.5000 0.6310
Cr2 0.6556 0.5000 0.3690
P1 0.5000 0.0000 0.5000
```

Computed properties:
E_form (eV/atom): 0.28
SG: P2/m


Number 1: magnetic moment 0.0 μB per cell, final energy -13.74 eV per formula unit. Number 2: magnetic moment 0.0 μB per cell, final energy -14.43 eV per formula unit. Number 3: magnetic moment 0.0 μB per cell, final energy -12.90 eV per formula unit. Number 4: magnetic moment 0.0 μB per cell, final energy -20.89 eV per formula unit. Number 5: magnetic moment 0.0 μB per cell, final energy -18.91 eV per formula unit. Number 6: magnetic moment 0.9 μB per cell, final energy -25.22 eV per formula unit.